No. 1
BeBiN3: relaxed, PBE-GGA.

Results
Formation energy (no corrections) ... 1288 meV/atom
Calculated density ... 8.347 g/cm³
Calculated volume ... 51.7 Å³/cell
Symmetry ... Pm-3m (221)

extended XYZ file:
```
5
Lattice="-0.780 -1.091 -3.476 -2.730 -2.180 1.297 -2.413 2.818 -0.343" Properties=species:S:1:pos:R:3 pbc="T T T"
Be 0.000 0.000 0.000
Bi -2.962 -0.226 -1.261
N -1.365 -1.090 0.648
N -1.207 1.409 -0.171
N -0.390 -0.545 -1.738
```


No. 2
MnCrHRu2: relaxed, PBE-GGA.

Results
E above lowest polymorph ... 6 meV per atom
Calculated density ... 9.298 g/cm³
Calculated volume ... 55.4 Å³/cell
Symmetry ... P4/mmm (123)

extended XYZ file:
```
5
Lattice="-3.040 1.862 -1.434 -1.434 -3.327 -1.279 -1.817 -0.466 3.248" Properties=species:S:1:pos:R:3 pbc="T T T"
Ru -0.717 -1.664 -0.640
Ru -1.520 0.931 -0.717
Mn -3.146 -0.966 0.268
H 0.000 0.000 0.000
Cr -0.908 -0.233 1.624
```